# PBE SrYMg2In, relaxed
data_SrYMg2In
_cell_length_a 5.859
_cell_length_b 5.859
_cell_length_c 5.727
_cell_angle_alpha 90.00
_cell_angle_beta 90.00
_cell_angle_gamma 90.00
_symmetry_space_group_name_H-M 'P 1'
_symmetry_Int_Tables_number 1
loop_
_symmetry_equiv_pos_as_xyz
'x,y,z'
loop_
_atom_site_label
_atom_site_type_symbol
_atom_site_fract_x
_atom_site_fract_y
_atom_site_fract_z
Sr1 Sr 0.000 0.000 0.000
Y1 Y 0.500 0.500 0.500
Mg1 Mg 0.000 0.500 0.500
Mg2 Mg 0.500 0.000 0.500
In1 In 0.500 0.500 0.000
# - formation energy (eV/atom) = 0.42
# - symmetry = No. 123